Here is crystalline MnMo2PbO8 at its relaxed geometry from the Alexandria database. Energies are from GGA+U.

* total moment: 0.99 μB/f.u.
* density of states at the Fermi level: 2.250 states/eV per cell
* symmetry: No. 147
* DFT total energy: -80.929 eV/f.u.

a = 5.759 Å, b = 5.759 Å, c = 6.669 Å
α = 90.00°, β = 90.00°, γ = 120.00°
Last column: magnetic moment on the atom in μB.
Fractional coordinates of all 12 atoms:
Mn (0.000, 0.000, 0.500)  1.55
Mo (0.667, 0.333, 0.243)  -0.37
Mo (0.333, 0.667, 0.757)  -0.37
Pb (0.000, 0.000, 0.000)  -0.01
O (0.333, 0.667, 0.023)  0.02
O (0.315, 0.156, 0.322)  0.02
O (0.844, 0.159, 0.322)  0.02
O (0.667, 0.333, 0.977)  0.02
O (0.156, 0.841, 0.678)  0.02
O (0.685, 0.844, 0.678)  0.02
O (0.159, 0.315, 0.678)  0.02
O (0.841, 0.685, 0.322)  0.02